# 1
A plane-wave DFT calculation with PBE-GGA was carried out for crystalline Hf2TiZn6 at its relaxed geometry.

As for the space-group type: P6/mmm. The spin magnetization is 0.000 μB/atom. The uncorrected energy is -37.2 eV for the cell shown.

abc: 3.0604 7.4734 7.4734
angles: 120.00 90.00 90.00
With the nearest neighbours (Å) after each atom.
Positions (direct):
Zn 0.5000 0.6702 0.0000  3 Zn 2.47-2.54
Zn 0.5000 0.3298 0.0000  3 Zn 2.47-2.54
Zn 0.5000 0.3298 0.3298  3 Zn 2.47-2.54
Zn 0.5000 0.6702 0.6702  3 Zn 2.47-2.54
Zn 0.5000 0.0000 0.3298  3 Zn 2.47-2.54
Zn 0.5000 0.0000 0.6702  3 Zn 2.47-2.54
Ti 0.0000 0.0000 0.0000  12 Zn 2.90, 2 Ti 3.06
Hf 0.0000 0.3333 0.6667  12 Zn 2.93, 2 Hf 3.06
Hf 0.0000 0.6667 0.3333  12 Zn 2.93, 2 Hf 3.06


# 2
A plane-wave DFT calculation with PBE-GGA was carried out for crystalline Ba5Sn2O2 at its relaxed geometry.

As for the space-group type: Ima2. The spin magnetization is 0.000 μB/atom. The uncorrected energy is -79.8 eV for the cell shown.

abc: 7.8433 7.7036 12.2601
angles: 108.31 108.66 90.00
With the nearest neighbours (Å) after each atom.
Positions (direct):
Ba 0.2491 0.7383 0.9940  2 O 2.75
Ba 0.8709 0.1278 0.5000  2 O 2.58-2.64
Ba 0.6190 0.6216 0.2825  1 O 2.58
Ba 0.3810 0.3392 0.7175  1 O 2.58
Ba 0.7551 0.2442 0.0060  2 O 2.75
Ba 0.7509 0.7442 0.0060  2 O 2.75
Ba 0.8365 0.8392 0.7175  1 O 2.58
Ba 0.1291 0.6278 0.5000  2 O 2.58-2.64
Ba 0.1635 0.1216 0.2825  1 O 2.58
Ba 0.2449 0.2383 0.9940  2 O 2.75
Sn 0.3985 0.8886 0.7882  7 Ba 3.43-3.83
Sn 0.6015 0.1004 0.2118  7 Ba 3.43-3.83
Sn 0.1103 0.6004 0.2118  7 Ba 3.43-3.83
Sn 0.8897 0.3886 0.7882  7 Ba 3.43-3.83
O 0.8399 0.7871 0.5000  4 Ba 2.58-2.64
O 0.0000 0.9889 0.0000  4 Ba 2.75
O 0.5000 0.4889 0.0000  4 Ba 2.75
O 0.1601 0.2871 0.5000  4 Ba 2.58-2.64


# 3
A plane-wave DFT calculation with PBE-GGA was carried out for crystalline LiZn2Cl at its relaxed geometry.

As for the space-group type: Cm. The spin magnetization is 0.000 μB/atom. The uncorrected energy is -8.3 eV for the cell shown.

abc: 4.5054 4.5054 6.3106
angles: 76.31 76.31 46.56
With the nearest neighbours (Å) after each atom.
Positions (direct):
Li 0.7228 0.7228 0.6896  3 Cl 2.42-2.61
Zn 0.3244 0.3244 0.0778  3 Zn 2.42-2.50
Zn 0.0254 0.0254 0.1193  3 Zn 2.42-2.50
Cl 0.4274 0.4274 0.6133  3 Li 2.42-2.61


# 4
A plane-wave DFT calculation with PBE-GGA was carried out for crystalline BeOsAu2 at its relaxed geometry.

As for the space-group type: Cmm2. The spin magnetization is 0.000 μB/atom. The uncorrected energy is -20.6 eV for the cell shown.

abc: 2.7425 2.7425 8.9770
angles: 90.00 90.00 116.58
With the nearest neighbours (Å) after each atom.
Positions (direct):
Be 0.0000 0.0000 0.5093  2 Os 2.29, 2 Au 2.44
Au 0.5000 0.5000 0.2903  2 Be 2.44
Au 0.0000 0.0000 0.9926  8 Au 2.74-3.04, 2 Os 2.94
Os 0.5000 0.5000 0.7077  2 Be 2.29


# 5
A plane-wave DFT calculation with PBE-GGA was carried out for crystalline PmTaP2 at its relaxed geometry.

As for the space-group type: P4/mmm. The spin magnetization is 0.000 μB/atom. The uncorrected energy is -29.2 eV for the cell shown.

abc: 3.2950 4.7230 4.7230
angles: 90.00 90.00 90.00
With the nearest neighbours (Å) after each atom.
Positions (direct):
P 0.0000 0.0000 0.5000  4 Ta 2.88, 4 Pm 2.88
P 0.0000 0.5000 0.0000  4 Ta 2.88, 4 Pm 2.88
Pm 0.5000 0.0000 0.0000  8 P 2.88
Ta 0.5000 0.5000 0.5000  8 P 2.88


# 6
A plane-wave DFT calculation with PBE-GGA was carried out for crystalline TeH at its relaxed geometry.

As for the space-group type: P6_3mc. The spin magnetization is 0.000 μB/atom. The uncorrected energy is -10.5 eV for the cell shown.

abc: 3.4033 3.4033 8.4435
angles: 90.00 90.00 120.00
With the nearest neighbours (Å) after each atom.
Positions (direct):
Te 0.6667 0.3333 0.2469  3 H 2.10
Te 0.3333 0.6667 0.7469  3 H 2.10
H 0.6667 0.3333 0.8351  3 Te 2.10
H 0.3333 0.6667 0.3351  3 Te 2.10


# 7
A plane-wave DFT calculation with PBE-GGA was carried out for crystalline AlAsRh3 at its relaxed geometry.

As for the space-group type: Pm-3m. The spin magnetization is 0.000 μB/atom. The uncorrected energy is -29.1 eV for the cell shown.

abc: 4.5070 4.5070 4.5070
angles: 90.00 90.00 90.00
With the nearest neighbours (Å) after each atom.
Positions (direct):
Rh 0.0000 0.5000 0.0000  2 As 2.25
Rh 0.5000 0.0000 0.0000  2 As 2.25
Rh 0.0000 0.0000 0.5000  2 As 2.25
Al 0.5000 0.5000 0.5000  12 Rh 3.19
As 0.0000 0.0000 0.0000  6 Rh 2.25


# 8
A plane-wave DFT calculation with PBE-GGA was carried out for crystalline Ca5Pb at its relaxed geometry.

As for the space-group type: Cm. The spin magnetization is 0.000 μB/atom. The uncorrected energy is -14.8 eV for the cell shown.

abc: 7.0513 7.0513 7.9418
angles: 72.96 72.96 36.25
With the nearest neighbours (Å) after each atom.
Positions (direct):
Ca 0.6945 0.6945 0.6115  8 Ca 3.60-3.69, 2 Pb 3.96-3.98
Ca 0.3533 0.3533 0.8024  2 Pb 3.48, 4 Ca 3.61-3.88
Ca 0.0486 0.0486 0.9591  2 Pb 3.40, 5 Ca 3.60-3.78
Ca 0.3399 0.3399 0.2633  2 Pb 3.40, 5 Ca 3.60-3.78
Ca 0.0359 0.0359 0.4196  2 Pb 3.48, 4 Ca 3.61-3.88
Pb 0.6944 0.6944 0.1107  8 Ca 3.40-3.48


# 9
A plane-wave DFT calculation with PBE-GGA was carried out for crystalline EuVS2 at its relaxed geometry.

As for the space-group type: R-3m. The spin magnetization is 2.434 μB/atom. The uncorrected energy is -33.1 eV for the cell shown.

abc: 3.8867 3.8867 6.4633
angles: 72.50 72.50 60.00
With the nearest neighbours (Å) after each atom.
Positions (direct):
Eu 0.5000 0.5000 0.5000  6 S 2.87
S 0.2651 0.2651 0.2046  3 V 2.56, 3 Eu 2.87
S 0.7349 0.7349 0.7954  3 V 2.56, 3 Eu 2.87
V 0.0000 0.0000 0.0000  6 S 2.56


# 10
A plane-wave DFT calculation with PBE-GGA was carried out for crystalline LaPuSb at its relaxed geometry.

As for the space-group type: I4mm. The spin magnetization is 2.211 μB/atom. The uncorrected energy is -25.1 eV for the cell shown.

abc: 4.1843 4.1843 5.7619
angles: 111.29 111.29 90.00
With the nearest neighbours (Å) after each atom.
Positions (direct):
Sb 0.2854 0.2854 0.5708  5 Pu 3.30-3.47, 5 La 3.33-3.41
La 0.6306 0.6306 0.2612  1 Pu 3.00, 4 Sb 3.33
Pu 0.9340 0.9340 0.8680  1 La 3.00, 4 Sb 3.30


# 11
A plane-wave DFT calculation with PBE-GGA was carried out for crystalline Co2As at its relaxed geometry.

As for the space-group type: P-3m1. The spin magnetization is 0.489 μB/atom. The uncorrected energy is -18.8 eV for the cell shown.

abc: 3.8885 3.8885 2.7971
angles: 90.00 90.00 120.00
With the nearest neighbours (Å) after each atom.
Positions (direct):
As 0.0000 0.0000 0.0000  6 Co 2.35
Co 0.6667 0.3333 0.7497  3 As 2.35
Co 0.3333 0.6667 0.2503  3 As 2.35


# 12
A plane-wave DFT calculation with PBE-GGA was carried out for crystalline TbPrCo at its relaxed geometry.

As for the space-group type: P-1. The spin magnetization is 0.000 μB/atom. The uncorrected energy is -33.1 eV for the cell shown.

abc: 5.1214 5.7130 5.6888
angles: 80.22 85.93 94.31
With the nearest neighbours (Å) after each atom.
Positions (direct):
Co 0.5606 0.8499 0.1503  1 Co 2.36, 2 Tb 2.60-2.64
Co 0.4394 0.1501 0.8497  1 Co 2.36, 2 Tb 2.60-2.64
Pr 0.5008 0.7022 0.7021  4 Co 2.85-3.11
Pr 0.4992 0.2978 0.2979  4 Co 2.85-3.11
Tb 0.0451 0.7735 0.2254  2 Co 2.60-2.64
Tb 0.9549 0.2265 0.7746  2 Co 2.60-2.64


# 13
A plane-wave DFT calculation with PBE-GGA was carried out for crystalline UAlAu at its relaxed geometry.

As for the space-group type: Immm. The spin magnetization is 0.959 μB/atom. The uncorrected energy is -38.5 eV for the cell shown.

abc: 5.6694 5.6694 5.6694
angles: 129.21 120.39 82.06
With the nearest neighbours (Å) after each atom.
Positions (direct):
U 0.7544 0.5000 0.2544  2 U 2.77-2.87
U 0.2456 0.5000 0.7456  2 U 2.77-2.87
Au 0.1732 0.1732 0.0000  4 Al 2.80-2.82, 1 Au 2.96
Au 0.8268 0.8268 0.0000  4 Al 2.80-2.82, 1 Au 2.96
Al 0.3355 0.8355 0.5000  4 Au 2.80-2.82, 1 Al 2.81
Al 0.6645 0.1645 0.5000  4 Au 2.80-2.82, 1 Al 2.81


# 14
A plane-wave DFT calculation with PBE-GGA was carried out for crystalline Na4Tl2F at its relaxed geometry.

As for the space-group type: I4/mmm. The spin magnetization is 0.000 μB/atom. The uncorrected energy is -16.9 eV for the cell shown.

abc: 4.5897 4.5897 9.3884
angles: 75.85 75.85 90.00
With the nearest neighbours (Å) after each atom.
Positions (direct):
Na 0.5000 0.0000 0.0000  2 F 2.29
Na 0.1382 0.1382 0.7237  1 F 2.43
Na 0.0000 0.5000 0.0000  2 F 2.29
Na 0.8618 0.8618 0.2763  1 F 2.43
Tl 0.6861 0.6861 0.6278  5 Na 3.10-3.35
Tl 0.3139 0.3139 0.3722  5 Na 3.10-3.35
F 0.0000 0.0000 0.0000  6 Na 2.29-2.43


# 15
A plane-wave DFT calculation with PBE-GGA was carried out for crystalline CdSiMoBr at its relaxed geometry.

As for the space-group type: Pmm2. The spin magnetization is 0.000 μB/atom. The uncorrected energy is -18.0 eV for the cell shown.

abc: 3.1163 3.4962 8.5659
angles: 90.00 90.00 90.00
With the nearest neighbours (Å) after each atom.
Positions (direct):
Mo 0.5000 0.5000 0.7428  1 Br 2.43, 4 Si 2.49
Br 0.5000 0.5000 0.0262  1 Mo 2.43
Si 0.0000 0.0000 0.6433  4 Mo 2.49
Cd 0.5000 0.0000 0.3599  2 Si 2.88, 2 Cd 3.12


# 16
A plane-wave DFT calculation with PBE-GGA was carried out for crystalline Li4MgZn at its relaxed geometry.

As for the space-group type: F-43m. The spin magnetization is 0.041 μB/atom. The uncorrected energy is -10.4 eV for the cell shown.

abc: 5.3068 5.3068 5.3068
angles: 60.00 60.00 60.00
With the nearest neighbours (Å) after each atom.
Positions (direct):
Mg 0.7500 0.7500 0.7500  12 Li 3.11, 4 Zn 3.25
Zn 0.0000 0.0000 0.0000  12 Li 3.11, 4 Mg 3.25
Li 0.3744 0.3744 0.8769  6 Li 2.64-2.67
Li 0.8769 0.3744 0.3744  6 Li 2.64-2.67
Li 0.3744 0.3744 0.3744  6 Li 2.64-2.67
Li 0.3744 0.8769 0.3744  6 Li 2.64-2.67


# 17
A plane-wave DFT calculation with PBE-GGA was carried out for crystalline IrRh2Cl at its relaxed geometry.

As for the space-group type: I-42d. The spin magnetization is 0.000 μB/atom. The uncorrected energy is -44.5 eV for the cell shown.

abc: 6.3024 6.3024 5.8944
angles: 57.68 57.68 90.00
With the nearest neighbours (Å) after each atom.
Positions (direct):
Rh 0.8750 0.8788 0.7500  2 Ir 2.41, 2 Cl 2.44
Rh 0.3750 0.3712 0.7500  2 Ir 2.41, 2 Cl 2.44
Rh 0.1212 0.6250 0.2500  2 Ir 2.41, 2 Cl 2.44
Rh 0.6288 0.1250 0.2500  2 Ir 2.41, 2 Cl 2.44
Ir 0.0000 0.0000 0.0000  4 Rh 2.41
Ir 0.7500 0.2500 0.5000  4 Rh 2.41
Cl 0.5000 0.5000 0.0000  4 Rh 2.44
Cl 0.2500 0.7500 0.5000  4 Rh 2.44


# 18
A plane-wave DFT calculation with PBE-GGA was carried out for crystalline DySi2Ag6 at its relaxed geometry.

As for the space-group type: P4/mmm. The spin magnetization is 0.000 μB/atom. The uncorrected energy is -34.1 eV for the cell shown.

abc: 4.1340 4.1340 9.6580
angles: 90.00 90.00 90.00
With the nearest neighbours (Å) after each atom.
Positions (direct):
Ag 0.0000 0.5000 0.2782  2 Si 2.59
Ag 0.5000 0.5000 0.5000  12 Ag 2.92-2.98
Ag 0.0000 0.5000 0.7218  2 Si 2.59
Ag 0.0000 0.0000 0.5000  12 Ag 2.92-2.98
Ag 0.5000 0.0000 0.7218  2 Si 2.59
Ag 0.5000 0.0000 0.2782  2 Si 2.59
Dy 0.0000 0.0000 0.0000  8 Si 3.14, 8 Ag 3.39
Si 0.5000 0.5000 0.8827  1 Si 2.27
Si 0.5000 0.5000 0.1173  1 Si 2.27


# 19
A plane-wave DFT calculation with PBE-GGA was carried out for crystalline AcHo2Sn2Hg2 at its relaxed geometry.

As for the space-group type: R-3m. The spin magnetization is 0.000 μB/atom. The uncorrected energy is -24.4 eV for the cell shown.

abc: 5.0722 5.0722 9.5910
angles: 74.67 74.67 60.00
With the nearest neighbours (Å) after each atom.
Positions (direct):
Sn 0.2617 0.2617 0.2150  3 Hg 3.06, 3 Ho 3.38
Sn 0.7383 0.7383 0.7850  3 Hg 3.06, 3 Ho 3.38
Hg 0.4378 0.4378 0.6866  3 Ho 3.03, 3 Sn 3.06
Hg 0.5622 0.5622 0.3134  3 Ho 3.03, 3 Sn 3.06
Ho 0.1331 0.1331 0.6006  3 Hg 3.03, 3 Sn 3.38
Ho 0.8669 0.8669 0.3994  3 Hg 3.03, 3 Sn 3.38
Ac 0.0000 0.0000 0.0000  6 Sn 3.53, 2 Ho 3.65


# 20
A plane-wave DFT calculation with PBE-GGA was carried out for crystalline Mg5In2GaHg2 at its relaxed geometry.

As for the space-group type: P4/mbm. The spin magnetization is 0.000 μB/atom. The uncorrected energy is -36.2 eV for the cell shown.

abc: 3.2877 11.8649 11.8649
angles: 90.00 90.00 90.00
With the nearest neighbours (Å) after each atom.
Positions (direct):
Mg 0.5000 0.2006 0.0162  2 Ga 2.90, 2 Hg 2.90, 2 In 3.17
Mg 0.5000 0.5162 0.7006  2 Ga 2.90, 2 Hg 2.90, 2 In 3.17
Mg 0.5000 0.5000 0.0000  4 Hg 2.91
Mg 0.5000 0.7994 0.9838  2 Ga 2.90, 2 Hg 2.90, 2 In 3.17
Mg 0.5000 0.0000 0.5000  4 Hg 2.91
Mg 0.5000 0.0162 0.7994  2 Ga 2.90, 2 Hg 2.90, 2 In 3.17
Mg 0.5000 0.4838 0.2994  2 Ga 2.90, 2 Hg 2.90, 2 In 3.17
Mg 0.5000 0.2994 0.5162  2 Ga 2.90, 2 Hg 2.90, 2 In 3.17
Mg 0.5000 0.9838 0.2006  2 Ga 2.90, 2 Hg 2.90, 2 In 3.17
Mg 0.5000 0.7006 0.4838  2 Ga 2.90, 2 Hg 2.90, 2 In 3.17
Ga 0.0000 0.0000 0.0000  8 Mg 2.90
Ga 0.0000 0.5000 0.5000  8 Mg 2.90
Hg 0.0000 0.6432 0.8568  6 Mg 2.90-2.91, 1 In 3.04
Hg 0.0000 0.1432 0.6432  6 Mg 2.90-2.91, 1 In 3.04
Hg 0.0000 0.8568 0.3568  6 Mg 2.90-2.91, 1 In 3.04
Hg 0.0000 0.3568 0.1432  6 Mg 2.90-2.91, 1 In 3.04
In 0.0000 0.3242 0.8242  1 Hg 3.04, 6 Mg 3.17-3.38, 2 In 3.29
In 0.0000 0.1758 0.3242  1 Hg 3.04, 6 Mg 3.17-3.38, 2 In 3.29
In 0.0000 0.6758 0.1758  1 Hg 3.04, 6 Mg 3.17-3.38, 2 In 3.29
In 0.0000 0.8242 0.6758  1 Hg 3.04, 6 Mg 3.17-3.38, 2 In 3.29